Entry from Alexandria via LeMat-Bulk: a relaxed structure of AcGaSe2 (PBE).

The value obtained for the density of states at the Fermi level is 0.64 states/eV/f.u. As for the uncorrected formation energy: -1.11 eV/atom. Its volume is 110.1 Å³/f.u.

The structure belongs to space group P4/mmm (No. 123); the cell edges are 3.865, 3.865 and 7.369 Å and the angles 90.00°, 90.00° and 90.00°. The inequivalent atoms are Ac at (0.000, 0.000, 0.000), Ga at (0.000, 0.000, 0.500) and Se at (0.500, 0.500, 0.241).